[1]
Crystalline CeNdY14 at its relaxed geometry. Source: the Alexandria database, functional PBE.

Unit cell a=7.1690 b=7.1690 c=10.1204 alpha=90.00 beta=90.00 gamma=90.00
Last column: nearest neighbours and their distance in Å.
Space group P4/mmm (No. 123)
Symmetry-distinct sites (fractional):
Ce: 0.0000 0.0000 0.0000  12 Y 3.57-3.58
Nd: 0.5000 0.5000 0.0000  12 Y 3.58-3.59
Y: 0.0000 0.0000 0.5000  12 Y 3.57-3.58
Y: 0.0000 0.5000 0.0000  8 Y 3.58, 2 Ce 3.58, 2 Nd 3.58
Y: 0.0000 0.5000 0.5000  12 Y 3.58
Y: 0.2484 0.2484 0.2502  10 Y 3.56-3.61, 1 Ce 3.57, 1 Nd 3.59
Y: 0.5000 0.5000 0.5000  12 Y 3.58-3.59

Properties
The calculation puts the volume at 520.1 Å³ per cell.

[2]
Crystalline CeNd7Y2 at its relaxed geometry. Source: the Alexandria database, functional PBE.

Unit cell a=12.2261 b=17.0646 c=3.4918 alpha=90.00 beta=90.00 gamma=90.00
Last column: nearest neighbours and their distance in Å.
Space group Cmmm (No. 65)
Symmetry-distinct sites (fractional):
Ce: 0.0000 0.0000 0.0000  4 Y 3.31, 2 Ce 3.49
Nd: 0.0000 0.3239 0.0000  2 Y 3.23, 8 Nd 3.47-3.55
Nd: 0.0000 0.5000 0.5000  10 Nd 3.47-3.71
Nd: 0.2441 0.3708 0.5000  1 Y 3.19, 4 Nd 3.49-3.55
Y: 0.0000 0.1646 0.5000  4 Nd 3.19-3.23, 2 Ce 3.31, 2 Y 3.49

Properties
The calculation puts the volume at 728.5 Å³ per cell.

[3]
Crystalline CeNd6Y10 at its relaxed geometry. Source: the Alexandria database, functional PBE.

Unit cell a=9.7605 b=9.7605 c=6.9807 alpha=90.00 beta=90.00 gamma=120.00
Last column: nearest neighbours and their distance in Å.
Space group P-31m (No. 162)
Symmetry-distinct sites (fractional):
Ce: 0.0000 0.0000 0.0000  6 Y 3.45
Nd: 0.0000 0.3799 0.7994  8 Y 3.36-3.70, 1 Nd 3.65
Y: 0.0000 0.2709 0.3164  5 Nd 3.40-3.76, 1 Ce 3.45, 2 Y 3.68
Y: 0.3333 0.6667 0.0000  6 Nd 3.36, 2 Y 3.49
Y: 0.3333 0.6667 0.5000  8 Y 3.49-3.82, 6 Nd 3.70

Properties
The calculation puts the volume at 575.9 Å³ per cell.

[4]
Crystalline CeNd14Y at its relaxed geometry. Source: the Alexandria database, functional PBE.

Unit cell a=7.3321 b=7.3321 c=10.3820 alpha=90.00 beta=90.00 gamma=90.00
Last column: nearest neighbours and their distance in Å.
Space group P4/mmm (No. 123)
Symmetry-distinct sites (fractional):
Ce: 0.0000 0.0000 0.0000  12 Nd 3.64-3.67
Nd: 0.0000 0.0000 0.5000  12 Nd 3.67-3.68
Nd: 0.0000 0.5000 0.0000  8 Nd 3.65, 2 Ce 3.67, 2 Y 3.67
Nd: 0.0000 0.5000 0.5000  12 Nd 3.67-3.69
Nd: 0.2488 0.2488 0.2475  1 Ce 3.64, 10 Nd 3.65-3.70, 1 Y 3.66
Nd: 0.5000 0.5000 0.5000  12 Nd 3.67-3.70
Y: 0.5000 0.5000 0.0000  12 Nd 3.66-3.67

Properties
The calculation puts the volume at 558.1 Å³ per cell.

[5]
Crystalline CeNd10Y4 at its relaxed geometry. Source: the Alexandria database, functional PBE.

Unit cell a=9.8853 b=9.8853 c=10.7420 alpha=90.00 beta=90.00 gamma=90.00
Last column: nearest neighbours and their distance in Å.
Space group I4/m (No. 87)
Symmetry-distinct sites (fractional):
Ce: 0.0000 0.0000 0.0000  4 Y 3.32
Nd: 0.0000 0.5000 0.2500  4 Y 3.22, 4 Nd 3.22
Nd: 0.1156 0.2124 0.3433  5 Nd 3.22-3.41
Y: 0.0592 0.3303 0.0000  2 Nd 3.22, 1 Ce 3.32, 1 Y 3.55

Properties
The calculation puts the volume at 1049.7 Å³ per cell.

[6]
Crystalline CeNdY2 at its relaxed geometry. Source: the Alexandria database, functional PBE.

Unit cell a=5.0893 b=5.0893 c=5.0369 alpha=90.00 beta=90.00 gamma=90.00
Last column: nearest neighbours and their distance in Å.
Space group P4/mmm (No. 123)
Symmetry-distinct sites (fractional):
Ce: 0.0000 0.0000 0.0000  8 Y 3.58, 4 Nd 3.60
Nd: 0.5000 0.5000 0.0000  8 Y 3.58, 4 Ce 3.60
Y: 0.0000 0.5000 0.5000  4 Ce 3.58, 4 Nd 3.58, 4 Y 3.60

Properties
The calculation puts the volume at 130.5 Å³ per cell. The value obtained for the excess energy over the best structure of this formula in the dataset is 0.024 eV/atom.

[7]
Crystalline CeNdY at its relaxed geometry. Source: the Alexandria database, functional PBE.

Unit cell a=6.2242 b=3.5885 c=8.8661 alpha=90.00 beta=103.48 gamma=90.00
Last column: nearest neighbours and their distance in Å.
Space group P2_1/m (No. 11)
Symmetry-distinct sites (fractional):
Ce: 0.2445 0.2500 0.4978  3 Nd 3.47-3.49, 3 Y 3.49-3.51, 6 Ce 3.54-3.64
Nd: 0.4768 0.2500 0.1777  3 Ce 3.47-3.49, 5 Y 3.59-3.66, 4 Nd 3.59-3.70
Y: 0.0267 0.2500 0.8289  3 Ce 3.49-3.51, 5 Nd 3.59-3.66, 4 Y 3.59-3.61

Properties
The calculation puts the volume at 192.6 Å³ per cell. The value obtained for the excess energy over the best structure of this formula in the dataset is 0.000 eV/atom.

[8]
Crystalline CeNd2Y2 at its relaxed geometry. Source: the Alexandria database, functional PBE.

Unit cell a=4.6098 b=4.6098 c=16.8583 alpha=90.00 beta=90.00 gamma=90.00
Last column: nearest neighbours and their distance in Å.
Space group I4/mmm (No. 139)
Symmetry-distinct sites (fractional):
Ce: 0.0000 0.0000 0.0000  8 Y 3.62
Nd: 0.0000 0.5000 0.2500  4 Nd 3.26, 4 Y 3.50
Y: 0.0000 0.0000 0.4065  1 Y 3.15, 4 Nd 3.50

Properties
The calculation puts the volume at 358.2 Å³ per cell.

[9]
Crystalline CeNdY at its relaxed geometry. Source: the Alexandria database, functional PBE.

Unit cell a=4.2045 b=4.2045 c=11.1772 alpha=90.00 beta=90.00 gamma=90.00
Last column: nearest neighbours and their distance in Å.
Space group I4mm (No. 107)
Symmetry-distinct sites (fractional):
Ce: 0.0000 0.0000 0.0000  5 Y 3.47-3.80, 5 Nd 3.55-3.65
Nd: 0.0000 0.0000 0.3267  5 Y 3.51-3.72, 5 Ce 3.55-3.65
Y: 0.0000 0.0000 0.6598  5 Ce 3.47-3.80, 5 Nd 3.51-3.72

Properties
The calculation puts the volume at 197.6 Å³ per cell. The value obtained for the excess energy over the best structure of this formula in the dataset is 0.143 eV/atom.

[10]
Crystalline CeNd4Y10 at its relaxed geometry. Source: the Alexandria database, functional PBE.

Unit cell a=11.3345 b=11.3345 c=8.0125 alpha=90.00 beta=90.00 gamma=90.00
Last column: nearest neighbours and their distance in Å.
Space group I4/mmm (No. 139)
Symmetry-distinct sites (fractional):
Ce: 0.0000 0.0000 0.0000  8 Y 3.32, 4 Nd 3.63
Nd: 0.2262 0.2262 0.0000  8 Y 3.48-3.60, 1 Ce 3.63
Y: 0.0000 0.2069 0.2928  4 Y 3.32-3.34, 1 Ce 3.32, 4 Nd 3.48-3.60
Y: 0.0000 0.5000 0.2500  4 Y 3.34

Properties
The calculation puts the volume at 1029.4 Å³ per cell.

[11]
Crystalline CeNd4Y3 at its relaxed geometry. Source: the Alexandria database, functional PBE.

Unit cell a=23.8260 b=3.4561 c=6.9134 alpha=90.00 beta=106.66 gamma=90.00
Last column: nearest neighbours and their distance in Å.
Space group C2/m (No. 12)
Symmetry-distinct sites (fractional):
Ce: 0.0000 0.0000 0.0000  2 Ce 3.46, 4 Nd 3.69, 8 Y 3.69-3.86
Nd: 0.1224 0.5000 0.3632  3 Y 3.31-3.58, 5 Nd 3.46-3.63, 2 Ce 3.69
Nd: 0.2416 0.0000 0.2379  7 Nd 3.46-3.84, 3 Y 3.55-3.61
Y: 0.0000 0.5000 0.5000  2 Nd 3.31, 4 Y 3.33-3.46
Y: 0.1231 0.5000 0.8814  3 Y 3.33-3.46, 5 Nd 3.34-3.61, 2 Ce 3.69

Properties
The calculation puts the volume at 545.4 Å³ per cell.

[12]
Crystalline CeNd7Y12 at its relaxed geometry. Source: the Alexandria database, functional PBE.

Unit cell a=11.4018 b=11.4018 c=11.4018 alpha=90.00 beta=90.00 gamma=90.00
Last column: nearest neighbours and their distance in Å.
Space group Im-3m (No. 229)
Symmetry-distinct sites (fractional):
Ce: 0.0000 0.0000 0.0000  12 Y 4.04
Nd: 0.0000 0.0000 0.5000  12 Y 4.02-4.03
Nd: 0.2500 0.2500 0.2500  6 Y 2.85
Y: 0.0000 0.2506 0.2506  2 Nd 2.85

Properties
The calculation puts the volume at 1482.2 Å³ per cell. The value obtained for the excess energy over the best structure of this formula in the dataset is 0.417 eV/atom.

Result set for ΔH_f (0 K): 36 403 137 30 316 79 55 428 198 263 190 639 meV per atom, one per record in the order listed.